A relaxed Sm3Cu2Ge6Rh crystal, computed with PBE.

Lattice parameters (Å, degrees): 6.0056 6.0056 7.9160 90.00 90.00 120.00
Last column: nearest neighbours and their distance in Å.
Positions (direct):
Sm (0.0000, 0.0000, 0.0000)  6 Ge 3.00
Sm (0.3333, 0.6667, 0.6330)  9 Ge 3.07-3.13, 1 Cu 3.08
Sm (0.6667, 0.3333, 0.3670)  9 Ge 3.07-3.13, 1 Cu 3.08
Cu (0.3333, 0.6667, 0.0223)  3 Ge 2.60
Cu (0.6667, 0.3333, 0.9777)  3 Ge 2.60
Ge (0.1871, 0.3742, 0.2880)  1 Rh 2.57, 1 Cu 2.60, 2 Ge 2.63
Ge (0.1871, 0.8129, 0.2880)  1 Rh 2.57, 1 Cu 2.60, 2 Ge 2.63
Ge (0.3742, 0.1871, 0.7120)  1 Rh 2.57, 1 Cu 2.60, 2 Ge 2.63
Ge (0.6258, 0.8129, 0.2880)  1 Rh 2.57, 1 Cu 2.60, 2 Ge 2.63
Ge (0.8129, 0.1871, 0.7120)  1 Rh 2.57, 1 Cu 2.60, 2 Ge 2.63
Ge (0.8129, 0.6258, 0.7120)  1 Rh 2.57, 1 Cu 2.60, 2 Ge 2.63
Rh (0.0000, 0.0000, 0.5000)  6 Ge 2.57

## Properties
Calculated formation energy ... -356 meV/atom
Density ... 7.50 g cm⁻³
Magnetization ... 0.000 μB per atom
Final energy ... -5.14 eV per atom

***

A relaxed CsTbI2 crystal, computed with PBE.

Lattice parameters (Å, degrees): 12.0581 12.0581 12.0581 20.36 20.36 20.36
Last column: nearest neighbours and their distance in Å.
Positions (direct):
Cs (0.0000, 0.0000, 0.0000)  2 I 3.95, 6 Cs 4.26
Tb (0.5000, 0.5000, 0.5000)  6 I 3.14
I (0.1115, 0.1115, 0.1115)  3 Tb 3.14
I (0.8885, 0.8885, 0.8885)  3 Tb 3.14

## Properties
Density ... 4.88 g cm⁻³
Magnetization ... 0.058 μB per atom
Energy relative to the elements, uncorrected ... -3.3 eV per formula unit
Final energy ... -2.98 eV per atom

***

Question: Number 1 is which compound?
Answer: Sm3Cu2Ge6Rh

***

Copy entry 2 word for word.
A relaxed CsTbI2 crystal, computed with PBE.

Lattice parameters (Å, degrees): 12.0581 12.0581 12.0581 20.36 20.36 20.36
Last column: nearest neighbours and their distance in Å.
Positions (direct):
Cs (0.0000, 0.0000, 0.0000)  2 I 3.95, 6 Cs 4.26
Tb (0.5000, 0.5000, 0.5000)  6 I 3.14
I (0.1115, 0.1115, 0.1115)  3 Tb 3.14
I (0.8885, 0.8885, 0.8885)  3 Tb 3.14

## Properties
Density ... 4.88 g cm⁻³
Magnetization ... 0.058 μB per atom
Energy relative to the elements, uncorrected ... -3.3 eV per formula unit
Final energy ... -2.98 eV per atom